1.
Entry from Alexandria: Tb3CdPd4 after structural relaxation (PBE).

Unit cell a=4.9081 b=6.8847 c=9.8151 alpha=90.00 beta=90.00 gamma=90.00
Closest atoms and distances in Å follow each position.
Sites, in units of the cell vectors:
Tb  0.4988  0.5000  0.2500  8 Pd 3.00-3.01
Cd  0.0000  0.5000  0.0000  8 Pd 3.00-3.01
Tb  0.4995  0.0000  0.2500  8 Pd 2.99
Pd  0.0013  0.2481  0.7500  6 Tb 2.99-3.01, 2 Cd 3.00
Tb  0.0000  0.0000  0.0000  8 Pd 2.99
Pd  0.0013  0.7519  0.7500  6 Tb 2.99-3.01, 2 Cd 3.00
Tb  0.0000  0.0000  0.5000  8 Pd 2.99
Pd  0.5000  0.2476  0.0000  6 Tb 2.99-3.01, 2 Cd 3.01
Pd  0.5000  0.7524  0.5000  6 Tb 2.99-3.01, 2 Cd 3.01
Tb  0.5005  0.0000  0.7500  8 Pd 2.99
Pd  0.5000  0.7524  0.0000  6 Tb 2.99-3.01, 2 Cd 3.01
Tb  0.5012  0.5000  0.7500  8 Pd 3.00-3.01
Pd  0.9987  0.2481  0.2500  6 Tb 2.99-3.01, 2 Cd 3.00
Pd  0.5000  0.2476  0.5000  6 Tb 2.99-3.01, 2 Cd 3.01
Cd  0.0000  0.5000  0.5000  8 Pd 3.00-3.01
Pd  0.9987  0.7519  0.2500  6 Tb 2.99-3.01, 2 Cd 3.00

## Properties
energy relative to the lowest polymorph listed for this composition: 0 meV/atom
total DFT energy (no corrections): -5.24 eV/atom
energy of formation: -0.789 eV/atom
N(E_F): 3.1 states/eV/f.u.

=====

2.
Entry from Alexandria: TbCdPd3 after structural relaxation (PBE).

Unit cell a=5.4812 b=6.5824 c=6.5824 alpha=120.00 beta=90.00 gamma=90.00
Closest atoms and distances in Å follow each position.
Sites, in units of the cell vectors:
Pd  0.7500  0.2003  0.7997  2 Pd 2.63, 2 Cd 2.66
Pd  0.7500  0.2004  0.4005  2 Pd 2.63, 2 Cd 2.66
Pd  0.2500  0.7997  0.2003  2 Pd 2.63, 2 Cd 2.66
Cd  0.5000  0.0000  0.0000  6 Pd 2.66, 2 Cd 2.74
Cd  0.0000  0.0000  0.0000  6 Pd 2.66, 2 Cd 2.74
Pd  0.2500  0.4005  0.2004  2 Pd 2.63, 2 Cd 2.66
Tb  0.7500  0.6665  0.3335  12 Pd 3.13-3.32
Tb  0.2500  0.3335  0.6665  12 Pd 3.13-3.32
Pd  0.7500  0.5995  0.7996  2 Pd 2.63, 2 Cd 2.66
Pd  0.2500  0.7996  0.5995  2 Pd 2.63, 2 Cd 2.66

## Properties
total DFT energy (no corrections): -4.66 eV/atom
energy of formation: -0.435 eV/atom
N(E_F): 2.0 states/eV/f.u.

=====

3.
Entry from Alexandria: TbCd3Pd after structural relaxation (PBE).

Unit cell a=5.4406 b=5.4406 c=10.0997 alpha=105.63 beta=105.63 gamma=90.00
Closest atoms and distances in Å follow each position.
Sites, in units of the cell vectors:
Pd  0.0000  0.0000  0.0000  4 Cd 2.73, 4 Tb 2.85
Pd  0.2500  0.7500  0.5000  8 Cd 2.67-2.84
Tb  0.5463  0.0463  0.0925  2 Pd 2.85
Cd  0.1266  0.3785  0.2533  2 Pd 2.67-2.73, 2 Cd 2.70-2.74
Tb  0.9537  0.4537  0.9074  2 Pd 2.85
Cd  0.7062  0.7062  0.4125  2 Pd 2.84
Cd  0.1266  0.8748  0.2533  2 Pd 2.67-2.73, 2 Cd 2.70-2.74
Cd  0.1252  0.8734  0.7467  2 Pd 2.67-2.73, 2 Cd 2.70-2.74
Cd  0.6215  0.8734  0.7467  2 Pd 2.67-2.73, 2 Cd 2.70-2.74
Cd  0.2938  0.2938  0.5875  2 Pd 2.84

## Properties
total DFT energy (no corrections): -2.63 eV/atom
energy of formation: -0.112 eV/atom
N(E_F): 3.3 states/eV/f.u.

=====

- N(E_F) of number 2 (TbCdPd3)?
  2.0 states/eV/f.u.